Record 1
Density functional theory data (PBEsol) for crystalline FeBPbO4 at its relaxed geometry.

POSCAR file:
```
FeBPbO4
1.0
6.549 0.000 0.000
0.000 5.745 0.000
0.000 0.000 8.685
Fe B Pb O
4 4 4 16
direct
0.000 0.000 0.000
0.000 0.500 0.000
0.500 0.000 0.500
0.500 0.500 0.500
0.210 0.250 0.256
0.290 0.750 0.756
0.710 0.250 0.244
0.790 0.750 0.744
0.016 0.750 0.352
0.484 0.250 0.852
0.516 0.750 0.148
0.984 0.250 0.648
0.117 0.250 0.901
0.168 0.040 0.183
0.168 0.460 0.183
0.215 0.750 0.903
0.285 0.250 0.403
0.332 0.540 0.683
0.332 0.960 0.683
0.383 0.750 0.401
0.617 0.250 0.599
0.668 0.040 0.317
0.668 0.460 0.317
0.715 0.750 0.597
0.785 0.250 0.097
0.832 0.540 0.817
0.832 0.960 0.817
0.883 0.750 0.099
```

Calculated values
total DFT energy (no corrections) = -7.4764 eV per atom
Fermi-level density of states = 0.48 states/eV/atom
volume = 327 Å³/cell
formation energy without anion corrections = -157 kJ per mole of atoms

---

Record 2
Density functional theory data (PBEsol) for crystalline CaZrPb3 at its relaxed geometry.

POSCAR file:
```
CaZrPb3
1.0
5.567 0.000 0.000
0.000 5.567 0.000
0.000 0.000 5.567
Ca Zr Pb
1 1 3
direct
0.000 0.000 0.000
0.500 0.500 0.500
0.000 0.500 0.500
0.500 0.000 0.500
0.500 0.500 0.000
```

Calculated values
total DFT energy (no corrections) = -4.5770 eV per atom
E_form = 6.4 kJ per mole of atoms
Fermi-level density of states = 0.45 states/eV/atom
volume = 173 Å³/cell

---

Record 3
Density functional theory data (PBEsol) for crystalline Li2CuTe at its relaxed geometry.

POSCAR file:
```
Li2CuTe
1.0
3.144 0.000 0.000
0.000 3.890 0.000
0.000 0.000 5.636
Li Cu Te
2 1 1
direct
0.000 0.000 0.000
0.500 0.500 0.272
0.500 0.500 0.797
0.000 0.000 0.519
```

Calculated values
total DFT energy (no corrections) = -3.1396 eV per atom
Fermi-level density of states = 0.42 states/eV/atom
volume = 69 Å³/cell
formation energy without anion corrections = -18 kJ per mole of atoms

---

Results for total moment: 3.0 0.0 0.0 (in μB/f.u., following the order of the records).